[1]
Computed, not measured: an optimized crystal structure of MgSc2Pa at the PBE level of DFT.

## Properties
As for the symmetry: F-43m (216). As for the energy above the most stable polymorph in this dataset: 0.93 eV/f.u. The value obtained for the energy relative to the elements is 24.3 kJ per mole of atoms.

Cell lengths 5.1534, 5.1534, 5.1534 Å; angles 60.00, 60.00, 60.00 degrees
Atoms (fractional coordinates):
Mg 0.0000 0.0000 0.0000
Sc 0.2500 0.2500 0.2500
Sc 0.5000 0.5000 0.5000
Pa 0.7500 0.7500 0.7500

[2]
Computed, not measured: an optimized crystal structure of HoHgRh at the PBE level of DFT.

## Properties
As for the symmetry: P2/m (10). The value obtained for the energy relative to the elements is -48.5 kJ per mole of atoms.

Cell lengths 5.6409, 3.3491, 7.5641 Å; angles 90.00, 111.66, 90.00 degrees
Atoms (fractional coordinates):
Ho 0.1201 0.0000 0.2413
Ho 0.8799 0.0000 0.7587
Hg 0.3226 0.5000 0.6434
Hg 0.6774 0.5000 0.3566
Rh 0.2638 0.5000 0.0000
Rh 0.7362 0.5000 0.0000

[3]
Computed, not measured: an optimized crystal structure of FeAgSb2 at the PBE level of DFT.

## Properties
As for the symmetry: I-42d (122). Its uncorrected formation energy is 0.3609 eV/atom. As for the energy above the most stable polymorph in this dataset: 0.80 eV/f.u.

Cell lengths 9.0273, 9.0273, 9.0273 Å; angles 149.49, 149.49, 43.70 degrees
Atoms (fractional coordinates):
Fe 0.0000 0.0000 0.0000
Fe 0.7500 0.2500 0.5000
Ag 0.2500 0.7500 0.5000
Ag 0.5000 0.5000 0.0000
Sb 0.0863 0.6250 0.9613
Sb 0.3750 0.3363 0.4613
Sb 0.6637 0.1250 0.0387
Sb 0.8750 0.9137 0.5387

[4]
Computed, not measured: an optimized crystal structure of BaCI3 at the PBE level of DFT.

## Properties
As for the symmetry: Pm-3m (221). Its uncorrected formation energy is 0.0494 eV/atom. As for the energy above the most stable polymorph in this dataset: 0.00 eV/f.u.

Cell lengths 5.3643, 5.3643, 5.3643 Å; angles 90.00, 90.00, 90.00 degrees
Atoms (fractional coordinates):
Ba 0.0000 0.0000 0.0000
C 0.5000 0.5000 0.5000
I 0.0000 0.5000 0.5000
I 0.5000 0.0000 0.5000
I 0.5000 0.5000 0.0000

Calculated volume (computed, Å³ per atom): 24.2, 22.1, 23.6, 30.9